## CoAuN2F (PBE+U)

Data for a geometry-optimized CoAuN2F structure.

Cell: 3.9019 3.9019 5.2479 Å, 90.00 90.00 90.00°
Sites, in units of the cell vectors:
1 Co 0.0000 0.0000 0.0000
2 Au 0.5000 0.5000 0.5000
3 N 0.0000 0.5000 0.5000
4 N 0.5000 0.0000 0.5000
5 F 0.5000 0.5000 0.0000

- DOS at the Fermi energy: 4.91 states/eV/f.u.
- ρ: 6.30 g/cm3
- Magnetic moment: 5.04 μB per formula unit
- Uncorrected energy: -19.58 eV for the cell shown